(1)
Compound: ReBPCl2
Source: the Alexandria database
Functional: PBE
Structure: relaxed

Results
energy relative to the elements, uncorrected: 139.1 kJ/mol of atoms
total energy: -4.2037 eV per atom
ρ: 6.90 g/cm³

Cell: 4.075 4.075 4.331 Å, 90.00 90.00 90.00°
Fractional coordinates of all 5 atoms:
Cl 0.000 0.500 0.000
B 0.000 0.000 0.000
P 0.000 0.000 0.500
Re 0.500 0.500 0.500
Cl 0.500 0.000 0.000

(2)
Compound: ReBPCl2
Source: the Alexandria database
Functional: PBE
Structure: relaxed

Results
energy relative to the elements, uncorrected: 117.2 kJ/mol of atoms
total energy: -4.4305 eV per atom
ρ: 4.50 g/cm³

Cell: 4.902 4.902 4.588 Å, 90.00 90.00 90.00°
Fractional coordinates of all 5 atoms:
Re 0.000 0.000 0.000
Cl 0.000 0.500 0.000
B 0.500 0.500 0.500
P 0.000 0.000 0.500
Cl 0.500 0.000 0.000

(3)
Compound: BPRhCl2
Source: the Alexandria database
Functional: PBE
Structure: relaxed

Results
energy relative to the elements, uncorrected: -18.1 kJ/mol of atoms
total energy: -4.8142 eV per atom
ρ: 3.01 g/cm³

Cell: 6.414 3.447 11.416 Å, 90.00 109.42 90.00°
Fractional coordinates of all 10 atoms:
B 0.242 0.500 0.047
Cl 0.529 0.500 0.099
Rh 0.053 0.000 0.046
Rh 0.053 0.500 0.546
Cl 0.141 0.000 0.269
Cl 0.529 0.000 0.599
B 0.242 0.000 0.547
P 0.952 0.000 0.404
Cl 0.141 0.500 0.769
P 0.952 0.500 0.904

(4)
Compound: BPRhCl2
Source: the Alexandria database
Functional: PBE
Structure: relaxed

Results
energy relative to the elements, uncorrected: -33.8 kJ/mol of atoms
total energy: -4.9772 eV per atom
ρ: 3.56 g/cm³

Cell: 3.192 3.587 8.815 Å, 94.57 90.59 90.02°
Fractional coordinates of all 5 atoms:
Rh 0.919 0.081 0.049
Cl 0.433 0.044 0.484
B 0.428 0.759 0.315
Cl 0.914 0.539 0.859
P 0.925 0.604 0.209

(5)
Compound: BPRhCl2
Source: the Alexandria database
Functional: PBE
Structure: relaxed

Results
energy relative to the elements, uncorrected: 94.6 kJ/mol of atoms
total energy: -3.6464 eV per atom
ρ: 3.23 g/cm³

Cell: 5.010 5.010 4.413 Å, 90.00 90.00 90.00°
Fractional coordinates of all 5 atoms:
P 0.000 0.000 0.500
B 0.500 0.500 0.500
Cl 0.000 0.500 0.000
Rh 0.000 0.000 0.000
Cl 0.500 0.000 0.000

(6)
Compound: BPRhCl2
Source: the Alexandria database
Functional: PBE
Structure: relaxed

Results
energy relative to the elements, uncorrected: -34.7 kJ/mol of atoms
total energy: -4.9858 eV per atom
ρ: 3.31 g/cm³

Cell: 3.550 4.006 8.594 Å, 98.59 89.96 116.32°
Fractional coordinates of all 5 atoms:
B 0.561 0.075 0.298
Rh 0.637 0.225 0.082
Cl 0.659 0.272 0.493
Cl 0.032 0.015 0.875
P 0.325 0.601 0.168

(7)
Compound: BPRhCl2
Source: the Alexandria database
Functional: PBE
Structure: relaxed

Results
energy relative to the elements, uncorrected: -22.3 kJ/mol of atoms
total energy: -4.8580 eV per atom
ρ: 3.64 g/cm³

Cell: 3.332 3.611 8.502 Å, 89.30 82.41 76.16°
Fractional coordinates of all 5 atoms:
Rh 0.998 0.217 0.064
Cl 0.662 0.890 0.884
Cl 0.531 0.327 0.489
P 0.571 0.559 0.268
B 0.041 0.758 0.206

(8)
Compound: BPRhCl2
Source: the Alexandria database
Functional: PBE
Structure: relaxed

Results
energy relative to the elements, uncorrected: -30.5 kJ/mol of atoms
total energy: -4.9428 eV per atom
ρ: 3.48 g/cm³

Cell: 3.240 3.786 8.642 Å, 80.47 80.07 90.01°
Fractional coordinates of all 5 atoms:
Rh 0.318 0.823 0.933
P 0.386 0.381 0.786
B 0.921 0.186 0.711
Cl 0.007 0.044 0.523
Cl 0.725 0.674 0.136

(9)
Compound: BPRhCl2
Source: the Alexandria database
Functional: PBE
Structure: relaxed

Results
energy relative to the elements, uncorrected: -29.2 kJ/mol of atoms
total energy: -4.9286 eV per atom
ρ: 2.93 g/cm³

Cell: 3.666 4.574 8.125 Å, 94.72 97.88 113.59°
Fractional coordinates of all 5 atoms:
P 0.821 0.795 0.154
Rh 0.155 0.498 0.096
Cl 0.182 0.307 0.495
Cl 0.820 0.949 0.896
B 0.078 0.235 0.276

(10)
Compound: BPRhCl2
Source: the Alexandria database
Functional: PBE
Structure: relaxed

Results
energy relative to the elements, uncorrected: -17.1 kJ/mol of atoms
total energy: -4.8039 eV per atom
ρ: 2.95 g/cm³

Cell: 3.552 5.731 6.320 Å, 78.45 74.42 89.81°
Fractional coordinates of all 5 atoms:
B 0.846 0.737 0.969
P 0.415 0.131 0.825
Cl 0.736 0.478 0.198
Rh 0.813 0.065 0.040
Cl 0.976 0.672 0.698

(11)
Compound: BPRhCl2
Source: the Alexandria database
Functional: PBE
Structure: relaxed

Results
energy relative to the elements, uncorrected: -18.3 kJ/mol of atoms
total energy: -4.8163 eV per atom
ρ: 3.55 g/cm³

Cell: 3.757 5.130 5.895 Å, 64.59 79.75 85.97°
Fractional coordinates of all 5 atoms:
Cl 0.405 0.384 0.259
Cl 0.690 0.788 0.537
P 0.025 0.129 0.947
B 0.639 0.072 0.221
Rh 0.540 0.898 0.952

(12)
Compound: BPRhCl2
Source: the Alexandria database
Functional: PBE
Structure: relaxed

Results
energy relative to the elements, uncorrected: 89.8 kJ/mol of atoms
total energy: -3.6952 eV per atom
ρ: 4.71 g/cm³

Cell: 4.198 4.198 4.313 Å, 90.00 90.00 90.00°
Fractional coordinates of all 5 atoms:
B 0.000 0.000 0.000
Cl 0.000 0.500 0.000
Cl 0.500 0.000 0.000
P 0.000 0.000 0.500
Rh 0.500 0.500 0.500